SrAsBr | PBE | optimized geometry

Calculated values
- excess energy over the best structure of this formula in the dataset (eV per atom) = 0.569
- mass density (g/cm3) = 4.0
- raw formation energy (eV/f.u.) = -2.42
- size of the total moment (μB/atom) = 0.000

Unit cell a=8.2169 b=8.2169 c=8.2169 alpha=154.71 beta=154.71 gamma=36.06
Closest atoms and distances in Å follow each position.
Atoms (fractional coordinates):
Sr1 0.0000 0.0000 0.0000  4 Br 3.08, 4 As 3.40
As1 0.6447 0.6447 0.0000  4 Sr 3.40, 4 As 3.60
Br1 0.3885 0.3885 0.0000  4 Sr 3.08